(1)
DFT (GGA-PBE) results for Ca6Ge2SN after structural relaxation.

Unit cell a=6.9958 b=7.2016 c=10.0527 alpha=90.00 beta=90.03 gamma=90.00
Positions (direct):
Ca  0.2830  0.6861  0.0413
Ca  0.7830  0.8139  0.5413
Ca  0.7170  0.3139  0.9587
Ca  0.2170  0.1861  0.4587
Ca  0.3167  0.7180  0.4589
Ca  0.8167  0.7820  0.9589
Ca  0.6833  0.2820  0.5411
Ca  0.1833  0.2180  0.0411
Ca  0.9208  0.5224  0.2335
Ca  0.4208  0.9776  0.7335
Ca  0.0792  0.4776  0.7665
Ca  0.5792  0.0224  0.2665
Ge  0.0133  0.9486  0.2493
Ge  0.5133  0.5514  0.7493
Ge  0.9867  0.0514  0.7507
Ge  0.4867  0.4486  0.2507
S  0.5000  0.0000  0.0000
S  0.0000  0.5000  0.5000
N  0.5000  0.0000  0.5000
N  0.0000  0.5000  0.0000

Values from the calculation:
**Raw formation energy**: -0.94 eV per atom
**Calculated volume**: 506.5 Å³/cell
**Crystal system**: monoclinic

---

(2)
DFT (GGA-PBE) results for CoIr3 after structural relaxation.

Unit cell a=4.6521 b=4.6521 c=10.7525 alpha=150.00 beta=150.00 gamma=33.82
Positions (direct):
Ir  0.9942  0.9942  0.2453
Ir  0.0000  0.0000  0.5000
Ir  0.0058  0.0058  0.7547
Co  0.0000  0.0000  0.0000

Values from the calculation:
**Calculated volume**: 55.1 Å³/cell
**Crystal system**: monoclinic
**Energy of formation from the pure elements**: 0.02 eV/atom

---

(3)
DFT (GGA-PBE) results for Tb2PmNd5Er after structural relaxation.

Unit cell a=5.6760 b=10.6327 c=10.7521 alpha=90.00 beta=90.00 gamma=105.48
Positions (direct):
Tb  0.8841  0.7682  0.8150
Tb  0.1112  0.2224  0.7374
Tb  0.1159  0.2318  0.3150
Tb  0.8888  0.7776  0.2374
Pm  0.7995  0.5990  0.5095
Pm  0.2005  0.4010  0.0095
Nd  0.3894  0.7789  0.0240
Nd  0.7196  0.4392  0.8099
Nd  0.4810  0.9619  0.7433
Nd  0.2967  0.5934  0.7040
Nd  0.9841  0.9682  0.5203
Nd  0.6106  0.2211  0.5240
Nd  0.2804  0.5608  0.3099
Nd  0.5190  0.0381  0.2433
Nd  0.7033  0.4066  0.2040
Nd  0.0159  0.0318  0.0203
Er  0.5911  0.1822  0.9605
Er  0.4089  0.8178  0.4605

Values from the calculation:
**Calculated volume**: 625.4 Å³/cell
**Crystal system**: orthorhombic
**Energy of formation from the pure elements**: 0.14 eV/atom

---

(4)
DFT (GGA-PBE) results for SnBrF after structural relaxation.

Unit cell a=4.5102 b=4.1898 c=4.1898 alpha=120.00 beta=90.00 gamma=90.00
Positions (direct):
Sn  0.1655  0.0000  0.0000
Br  0.6675  0.6667  0.3333
F  0.1670  0.3333  0.6667

Values from the calculation:
**Raw formation energy**: -1.44 eV per atom
**Calculated volume**: 68.6 Å³/cell
**Crystal system**: trigonal

---

(5)
DFT (GGA-PBE) results for Ca2CuIrO6 after structural relaxation.

Unit cell a=6.4616 b=6.4616 c=6.5175 alpha=88.38 beta=88.38 gamma=92.38
Positions (direct):
Ca  0.6006  0.3994  0.0000
Ca  0.4088  0.5912  0.5000
Ca  0.7355  0.8911  0.1261
Ca  0.1089  0.2645  0.8739
Cu  0.8432  0.1568  0.5000
Cu  0.1864  0.8136  0.0000
Ir  0.4979  0.9997  0.7373
Ir  0.0003  0.5021  0.2627
O  0.8871  0.2138  0.2006
O  0.7862  0.1129  0.7994
O  0.1030  0.7869  0.2856
O  0.2131  0.8970  0.7144
O  0.0326  0.3943  0.5407
O  0.6057  0.9674  0.4593
O  0.9692  0.6065  0.9698
O  0.3935  0.0308  0.0302
O  0.7091  0.5713  0.2996
O  0.4287  0.2909  0.7004
O  0.2789  0.4380  0.1777
O  0.5620  0.7211  0.8223

Values from the calculation:
**Raw formation energy**: -1.50 eV per atom
**Calculated volume**: 271.7 Å³/cell
**Crystal system**: monoclinic

---

(6)
DFT (GGA-PBE) results for HgS3Cl3 after structural relaxation.

Unit cell a=7.9038 b=7.9038 c=7.9038 alpha=59.42 beta=59.42 gamma=59.42
Positions (direct):
Hg  0.6694  0.6694  0.6694
Hg  0.3306  0.3306  0.3306
S  0.1683  0.1697  0.9039
S  0.1697  0.9039  0.1683
S  0.9039  0.1683  0.1697
S  0.0961  0.8317  0.8303
S  0.8303  0.0961  0.8317
S  0.8317  0.8303  0.0961
Cl  0.9188  0.4112  0.4137
Cl  0.4137  0.9188  0.4112
Cl  0.4112  0.4137  0.9188
Cl  0.5888  0.5863  0.0812
Cl  0.5863  0.0812  0.5888
Cl  0.0812  0.5888  0.5863

Values from the calculation:
**Raw formation energy**: -0.04 eV per atom
**Calculated volume**: 344.5 Å³/cell
**Crystal system**: trigonal

---

(7)
DFT (GGA-PBE) results for MnBePt2W after structural relaxation.

Unit cell a=4.6284 b=4.3087 c=4.6284 alpha=90.00 beta=90.00 gamma=90.00
Positions (direct):
Be  0.5000  0.5000  0.5000
Mn  0.0000  0.0000  0.0000
W  0.0000  0.5000  0.0000
Pt  0.0000  0.0000  0.5000
Pt  0.5000  0.0000  0.0000

Values from the calculation:
**Calculated volume**: 92.3 Å³/cell
**Crystal system**: tetragonal
**Energy of formation from the pure elements**: 1.40 eV/atom

---

(8)
DFT (GGA-PBE) results for Ti8Ni3Pd2 after structural relaxation.

Unit cell a=5.2178 b=7.0900 c=6.7501 alpha=121.68 beta=96.33 gamma=90.00
Positions (direct):
Ti  0.8997  0.5963  0.1927
Ti  0.1003  0.4037  0.8073
Ti  0.8134  0.1767  0.3534
Ti  0.1866  0.8233  0.6466
Ti  0.6137  0.5776  0.7821
Ti  0.6137  0.2046  0.7821
Ti  0.3863  0.7954  0.2179
Ti  0.3863  0.4224  0.2179
Ni  0.5000  0.0000  0.0000
Ni  0.0000  0.1687  0.0000
Ni  0.0000  0.8313  0.0000
Pd  0.3082  0.2070  0.4141
Pd  0.6918  0.7930  0.5859

Values from the calculation:
**Calculated volume**: 210.7 Å³/cell
**Crystal system**: monoclinic
**Energy of formation from the pure elements**: -0.12 eV/atom

---

(9)
DFT (GGA-PBE) results for RbHg2Pt after structural relaxation.

Unit cell a=5.2962 b=5.2962 c=5.2962 alpha=60.00 beta=60.00 gamma=60.00
Positions (direct):
Rb  0.0000  0.0000  0.0000
Hg  0.2500  0.2500  0.2500
Hg  0.7500  0.7500  0.7500
Pt  0.5000  0.5000  0.5000

Values from the calculation:
**Calculated volume**: 105.0 Å³/cell
**Energy relative to the lowest polymorph listed for this composition**: 1.18 eV per formula unit
**Crystal system**: cubic
**Energy of formation from the pure elements**: 0.15 eV/atom

---

(10)
DFT (GGA-PBE) results for Re2SbTe after structural relaxation.

Unit cell a=8.5580 b=8.5580 c=8.5580 alpha=21.42 beta=21.42 gamma=21.42
Positions (direct):
Re  0.0005  0.0005  0.0005
Re  0.4995  0.4995  0.4995
Sb  0.2500  0.2500  0.2500
Te  0.7500  0.7500  0.7500

Values from the calculation:
**Raw formation energy**: 0.74 eV per atom
**Calculated volume**: 73.2 Å³/cell
**Energy relative to the lowest polymorph listed for this composition**: 1.71 eV per formula unit
**Crystal system**: trigonal

---

(11)
DFT (GGA-PBE) results for TmCoCu after structural relaxation.

Unit cell a=3.5651 b=4.0727 c=4.0727 alpha=120.00 beta=90.00 gamma=90.00
Positions (direct):
Tm  0.6667  0.6667  0.3333
Co  0.1667  0.3333  0.6667
Cu  0.1667  0.0000  0.0000

Values from the calculation:
**Calculated volume**: 51.2 Å³/cell
**Energy relative to the lowest polymorph listed for this composition**: 0.24 eV per formula unit
**Crystal system**: hexagonal
**Energy of formation from the pure elements**: -0.14 eV/atom

---

(12)
DFT (GGA-PBE) results for La3SmB2N6 after structural relaxation.

Unit cell a=5.7060 b=5.7060 c=6.5094 alpha=90.00 beta=90.00 gamma=120.00
Positions (direct):
La  0.3333  0.6667  0.6703
La  0.6667  0.3333  0.3297
La  0.0000  0.0000  0.0000
Sm  0.0000  0.0000  0.5000
B  0.6667  0.3333  0.7500
B  0.3333  0.6667  0.2500
N  0.6278  0.8139  0.2711
N  0.1861  0.3722  0.2711
N  0.1861  0.8139  0.2711
N  0.8139  0.6278  0.7289
N  0.3722  0.1861  0.7289
N  0.8139  0.1861  0.7289

Values from the calculation:
**Raw formation energy**: -1.18 eV per atom
**Calculated volume**: 183.5 Å³/cell
**Crystal system**: trigonal

---

Which value of calculated volume does entry 6 give?
344.5 Å³/cell